12
Lattice="3.089 0.000 0.000 0.000 9.223 0.000 0.000 0.000 6.811" Properties=species:S:1:pos:R:3 comment="MgZnCu (GGA-PBE, relaxed)" ef_ev_per_atom=-0.0388 total_magnetization_mub_per_atom=0.000 pbc="T T T"
Mg 0.000 0.514 0.000
Mg 0.000 3.358 4.094
Mg 0.000 5.866 0.689
Mg 0.000 8.709 3.406
Zn 1.545 1.592 2.193
Zn 1.545 2.984 6.621
Zn 1.545 6.239 3.216
Zn 1.545 7.631 5.598
Cu 1.545 1.203 4.750
Cu 1.545 4.073 2.010
Cu 1.545 5.150 5.416
Cu 1.545 8.021 1.344